(1)
The following is a PBE-GGA calculation of crystalline Na2GeRuC at its relaxed geometry, from Alexandria.

Values from the calculation:
Calculated total energy = -20.48 eV/f.u.
Crystal system = tetragonal
Space-group type = P4/mmm
Spin magnetization = 0.0 μB/f.u.
Energy relative to the elements = 1.05 eV/atom

a b c (Å): 5.5998 5.5998 3.7471
angles (deg): 90.00 90.00 90.00
Element x y z (fractional)
Na1 0.0000 0.5000 0.0000
Na2 0.5000 0.0000 0.0000
Ge1 0.0000 0.0000 0.5000
Ru1 0.5000 0.5000 0.0000
C1 0.5000 0.5000 0.5000

(2)
The following is a PBE-GGA calculation of crystalline Tm7Al5In at its relaxed geometry, from Alexandria.

Values from the calculation:
Calculated total energy = -55.76 eV/f.u.
Crystal system = orthorhombic
Space-group type = Imm2
Spin magnetization = 0.0 μB/f.u.
Energy relative to the elements = -0.23 eV/atom

a b c (Å): 7.8408 7.8408 7.8408
angles (deg): 134.14 101.21 96.26
Element x y z (fractional)
Tm1 0.0000 0.0000 0.0000
Tm2 0.2680 0.5859 0.6821
Tm3 0.3638 0.3638 0.0000
Tm4 0.4088 0.0769 0.3319
Tm5 0.7450 0.0769 0.6681
Tm6 0.8291 0.3291 0.5000
Tm7 0.9038 0.5859 0.3179
Al1 0.0820 0.0643 0.4719
Al2 0.0820 0.6101 0.0177
Al3 0.3277 0.8277 0.5000
Al4 0.5923 0.0643 0.9823
Al5 0.5923 0.6101 0.5281
In1 0.6733 0.6733 0.0000